1.
Below is crystalline Tm6CuRh5 at its relaxed geometry, with properties calculated at the GGA-PBE level.

Structure (POSCAR):
```
Tm6CuRh5
1.0
-1.370 4.581 -0.516
-2.440 -1.417 -6.103
-4.507 -3.162 6.240
Tm Cu Rh
6 1 5
Cartesian
-7.017 -1.931 1.418 Tm
-4.337 1.595 3.211 Tm
-3.980 -1.592 -3.590 Tm
-2.763 -0.886 -0.546 Tm
-5.554 0.888 0.167 Tm
-1.300 1.933 -1.797 Tm
0.000 0.000 0.000 Cu
-2.828 1.761 0.722 Rh
-4.031 1.058 -2.338 Rh
-5.489 -1.758 -1.101 Rh
-4.286 -1.056 1.959 Rh
-1.220 -0.709 -3.052 Rh
```

Summary:
Calculated formation energy   -0.8547 eV/atom
Calculated density   11.313 g cm⁻³
Energy   -77.9 eV/f.u.
Calculated volume   19.47 Å³/atom

---

2.
Below is crystalline TaFeMo2 at its relaxed geometry, with properties calculated at the GGA-PBE level.

Structure (POSCAR):
```
TaFeMo2
1.0
-1.375 3.279 2.602
-1.245 -2.934 3.041
2.889 0.155 1.332
Ta Fe Mo
1 1 2
Cartesian
0.757 1.717 1.967 Ta
0.822 -1.390 2.187 Fe
-1.310 0.172 2.821 Mo
0.000 0.000 0.000 Mo
```

Summary:
Calculated formation energy   0.0501 eV/atom
Calculated density   11.515 g cm⁻³
Energy   -41.8 eV/f.u.
Calculated volume   15.45 Å³/atom

---

3.
Below is crystalline Li5In2Pb at its relaxed geometry, with properties calculated at the GGA-PBE level.

Structure (POSCAR):
```
Li5In2Pb
1.0
-0.378 -4.478 1.192
3.537 0.493 2.976
-6.158 3.749 3.067
Pb Li In
1 5 2
Cartesian
0.000 0.000 0.000 Pb
-1.694 1.576 5.384 Li
-1.304 -1.811 1.850 Li
-3.652 -0.910 4.492 Li
1.580 -1.992 2.084 Li
0.654 0.675 2.742 Li
-2.321 0.891 2.612 In
-0.677 -1.126 4.623 In
```

Summary:
Calculated formation energy   -0.2921 eV/atom
Calculated density   5.094 g cm⁻³
Energy   -21.1 eV/f.u.
Calculated volume   19.21 Å³/atom

---

4.
Below is crystalline Nb8VRe2 at its relaxed geometry, with properties calculated at the GGA-PBE level.

Structure (POSCAR):
```
Nb8VRe2
1.0
5.171 0.106 0.081
0.328 7.341 2.206
0.328 4.101 6.476
Re Nb V
2 8 1
Cartesian
3.731 8.562 6.496 Re
2.097 2.986 2.266 Re
1.107 9.009 6.836 Nb
3.482 3.902 4.672 Nb
3.482 5.550 2.500 Nb
2.346 5.998 6.263 Nb
4.959 6.767 5.135 Nb
0.869 4.781 3.627 Nb
4.721 2.539 1.926 Nb
2.346 7.646 4.090 Nb
0.000 0.000 0.000 V
```

Summary:
Calculated formation energy   0.1456 eV/atom
Calculated density   9.743 g cm⁻³
Energy   -113.0 eV/f.u.
Calculated volume   18.07 Å³/atom

---

5.
Below is crystalline MnSb3H at its relaxed geometry, with properties calculated at the GGA-PBE level.

Structure (POSCAR):
```
MnSb3H
1.0
-0.299 3.895 3.078
-3.767 -2.186 2.401
3.233 -2.187 3.082
H Sb Mn
1 3 1
Cartesian
-0.417 -0.239 4.280 H
-1.884 -1.093 1.200 Sb
1.617 -1.094 1.541 Sb
-0.150 1.948 1.539 Sb
0.000 0.000 0.000 Mn
```

Summary:
Calculated density   5.686 g cm⁻³
Energy   -21.4 eV/f.u.
Calculated volume   24.60 Å³/atom

---

6.
Below is crystalline Be3C5 at its relaxed geometry, with properties calculated at the GGA-PBE level.

Structure (POSCAR):
```
Be3C5
1.0
-1.158 8.440 -0.515
-2.427 3.938 -5.121
-3.749 4.256 3.305
C Be
10 6
Cartesian
-3.478 5.655 -1.756 C
-3.208 4.702 -2.616 C
-2.330 2.904 0.650 C
-3.564 9.443 -4.745 C
-4.280 10.975 -1.034 C
-3.942 10.637 -4.483 C
-4.284 7.634 1.761 C
-5.602 11.419 -0.611 C
-4.203 7.206 0.557 C
-4.638 12.241 0.110 C
-4.624 6.575 -0.994 Be
-3.594 11.485 -2.603 Be
-3.392 6.316 -3.461 Be
-3.154 7.785 -5.013 Be
-3.123 5.473 0.105 Be
-2.508 8.087 0.909 Be
```

Summary:
Calculated formation energy   0.7173 eV/atom
Calculated density   1.546 g cm⁻³
Energy   -51.6 eV/f.u.
Calculated volume   11.69 Å³/atom